The following is a GGA-PBE calculation of a geometry-optimized Mg2ReBr structure, from Alexandria.

a b c (Å): 3.168 3.084 8.186
angles (deg): 90.00 90.07 90.00
Element x y z (fractional)
1 Mg 0.001 0.000 0.222
2 Mg 0.999 0.000 0.778
3 Re 0.500 0.500 0.000
4 Br 0.000 0.500 0.500

V = 79.99 Å³/cell
excess energy over the best structure of this formula in the dataset = 0 meV per atom
symmetry = P2/m
E = -4.23 eV per atom
density of states at the Fermi level = 2.2 states/eV/f.u.